Compound: Li2ZnPt2
Source: the Alexandria database
Functional: PBE
Structure: relaxed

a = 6.8680 Å, b = 6.8680 Å, c = 2.8558 Å
α = 90.00°, β = 90.00°, γ = 90.00°
With the nearest neighbours (Å) after each atom.
Sites, in units of the cell vectors:
Li 0.1144 0.3856 0.0000  1 Li 2.22, 2 Pt 2.41
Li 0.3856 0.8856 0.0000  1 Li 2.22, 2 Pt 2.41
Li 0.6144 0.1144 0.0000  1 Li 2.22, 2 Pt 2.41
Li 0.8856 0.6144 0.0000  1 Li 2.22, 2 Pt 2.41
Zn 0.0000 0.0000 0.0000  4 Li 2.76, 2 Zn 2.86, 8 Pt 2.89
Zn 0.5000 0.5000 0.0000  4 Li 2.76, 2 Zn 2.86, 8 Pt 2.89
Pt 0.1856 0.6856 0.5000  6 Li 2.41-2.55
Pt 0.3144 0.1856 0.5000  6 Li 2.41-2.55
Pt 0.6856 0.8144 0.5000  6 Li 2.41-2.55
Pt 0.8144 0.3144 0.5000  6 Li 2.41-2.55

Values from the calculation:
Magnetic moment ... 0.00 Bohr magnetons per cell
Final energy ... -3.86 eV/atom
Excess energy over the best structure of this formula in the dataset ... 113 meV per atom
Formation energy ... -0.421 eV/atom